This record from OQMD describes crystalline K3AuCl6 at its relaxed geometry. The functional is PBE.

* volume: 31.28 A^3/atom
* calculated total energy: -0.1068 hartree per atom
* space group: Fm-3m (225)

Geometry as POSCAR:
```
K3AuCl6
1.0
0.000 5.388 5.388
5.388 0.000 5.388
5.388 5.388 0.000
Au Cl K
1 6 3
Cartesian
0.000 0.000 0.000
2.500 5.388 5.388
5.388 2.500 5.388
5.388 5.388 8.275
5.388 5.388 2.500
5.388 8.275 5.388
8.275 5.388 5.388
2.694 2.694 2.694
5.388 5.388 5.388
8.082 8.082 8.082
```


This record from OQMD describes crystalline Er3Mg3Tl2Au at its relaxed geometry. The functional is PBE.

* total magnetic moment: 0.00 μB per cell
* volume: 23.96 A^3/atom
* calculated total energy: -0.1239 hartree per atom
* space group: P-62m (189)

Geometry as POSCAR:
```
Er3Mg3Tl2Au
1.0
7.523 0.000 0.000
-3.762 6.515 0.000
0.000 0.000 4.399
Au Er Mg Tl
1 3 3 2
Cartesian
0.000 0.000 2.200
3.071 0.000 2.200
-1.535 2.659 2.200
2.226 3.856 2.200
5.738 0.000 0.000
0.893 1.546 0.000
-2.869 4.969 0.000
3.762 2.172 0.000
0.000 4.344 0.000
```


This record from OQMD describes crystalline HoZnB4 at its relaxed geometry. The functional is PBE.

* total magnetic moment: 0.00 μB per cell
* volume: 10.79 A^3/atom
* relative energy among the computed polymorphs: 0.000 eV/atom
* space group: Immm (71)

Geometry as POSCAR:
```
HoZnB4
1.0
-1.589 2.620 3.887
1.589 -2.620 3.887
1.589 2.620 -3.887
B Ho Zn
4 1 1
Cartesian
0.000 1.696 1.852
1.589 -0.925 2.035
0.000 3.545 1.852
1.589 0.925 2.035
0.000 0.000 3.887
0.000 0.000 0.000
```


This record from OQMD describes crystalline LaPr2Ge4Ir2Pd2 at its relaxed geometry. The functional is PBE.

* total magnetic moment: 0.00 μB per cell
* volume: 20.99 A^3/atom
* relative energy among the computed polymorphs: 0.056 eV/atom
* space group: Immm (71)

Geometry as POSCAR:
```
LaPr2Ge4Ir2Pd2
1.0
-6.380 5.474 9.781
-7.019 9.461 5.248
4.166 -8.936 -8.314
Ge Ir La Pd Pr
4 2 1 2 2
Cartesian
-6.023 6.713 6.756
-7.376 8.222 8.274
-5.197 2.828 5.322
-4.036 3.171 1.394
-6.512 4.294 6.797
-2.721 1.705 -0.081
0.000 0.000 0.000
-3.341 3.724 3.748
-10.058 11.211 11.282
-3.057 0.443 2.922
-6.175 5.556 3.794
```


This record from OQMD describes crystalline BaNdB4 at its relaxed geometry. The functional is PBE.

* total magnetic moment: 0.01 μB per cell
* volume: 16.95 A^3/atom
* relative energy among the computed polymorphs: 0.000 eV/atom
* space group: Immm (71)

Geometry as POSCAR:
```
BaNdB4
1.0
-0.667 -5.741 -1.105
4.264 -0.936 3.945
-5.600 1.421 -1.115
B Ba Nd
4 1 1
Cartesian
-0.777 -2.810 0.114
1.700 -0.429 2.648
-3.704 -4.828 -0.923
-1.227 -2.446 1.611
0.000 0.000 0.000
1.798 -3.339 1.420
```


This record from OQMD describes crystalline LiZnCdGa at its relaxed geometry. The functional is PBE.

* volume: 17.10 A^3/atom
* relative energy among the computed polymorphs: 0.000 eV/atom
* space group: F-43m (216)

Geometry as POSCAR:
```
LiZnCdGa
1.0
0.000 3.246 3.246
3.246 0.000 3.246
3.246 3.246 0.000
Cd Ga Li Zn
1 1 1 1
Cartesian
3.246 3.246 3.246
0.000 0.000 0.000
4.869 4.869 4.869
1.623 1.623 1.623
```


This record from OQMD describes crystalline LuCoReSi at its relaxed geometry. The functional is PBE.

* total magnetic moment: 0.10 μB per cell
* volume: 14.83 A^3/atom
* relative energy among the computed polymorphs: 0.000 eV/atom
* space group: F-43m (216)

Geometry as POSCAR:
```
LuCoReSi
1.0
0.000 3.095 3.095
3.095 0.000 3.095
3.095 3.095 0.000
Co Lu Re Si
1 1 1 1
Cartesian
4.643 4.643 4.643
3.095 3.095 3.095
1.548 1.548 1.548
0.000 0.000 0.000
```


This record from OQMD describes crystalline GdNi2Pt3 at its relaxed geometry. The functional is PBE.

* total magnetic moment: 0.00 μB per cell
* volume: 16.63 A^3/atom
* calculated total energy: -0.2310 hartree per atom
* space group: P6/mmm (191)

Geometry as POSCAR:
```
GdNi2Pt3
1.0
5.309 0.000 0.000
-2.654 4.598 0.000
0.000 0.000 4.087
Gd Ni Pt
1 2 3
Cartesian
0.000 0.000 0.000
2.654 1.533 0.000
0.000 3.065 0.000
2.654 0.000 2.043
-1.327 2.299 2.043
1.327 2.299 2.043
```